## RbInPd2 (PBE-GGA)

Data for a geometry-optimized RbInPd2 structure.

a b c (Å): 7.9991 7.9991 6.8047
angles (deg): 90.00 90.00 90.00
Closest atoms and distances in Å follow each position.
Space group I-42d (No. 122)
Inequivalent atoms, fractional coordinates:
Rb  0.0000  0.0000  0.0000  8 Pd 3.33-3.56, 2 In 3.40
In  0.0000  0.0000  0.5000  4 Pd 2.63
Pd  0.1844  0.2500  0.6250  2 In 2.63

## Properties
Crystal system: tetragonal
Formation energy: 0.1236 eV/atom
N(E_F): 0.1000 states/eV per atom

***

## Sm4GaOs (PBE-GGA)

Data for a geometry-optimized Sm4GaOs structure.

a b c (Å): 8.9717 13.5680 6.2614
angles (deg): 90.00 118.20 90.00
Closest atoms and distances in Å follow each position.
Space group C2/c (No. 15)
Inequivalent atoms, fractional coordinates:
Sm  0.1184  0.1759  0.0819  2 Os 3.00-3.01, 2 Ga 3.13-3.22
Sm  0.2122  0.4329  0.3124  2 Os 2.89-2.93, 2 Ga 3.19-3.22
Ga  0.0000  0.3709  0.7500  8 Sm 3.13-3.22
Os  0.0000  0.0007  0.7500  8 Sm 2.89-3.01, 2 Os 3.13

## Properties
Crystal system: monoclinic
Formation energy: -0.2839 eV/atom
N(E_F): 1.0877 states/eV per atom

***

## CeAsS (PBE-GGA)

Data for a geometry-optimized CeAsS structure.

a b c (Å): 3.9415 3.9415 8.4435
angles (deg): 90.00 90.00 90.00
Closest atoms and distances in Å follow each position.
Space group P4/nmm (No. 129, origin choice 2)
Inequivalent atoms, fractional coordinates:
Ce  0.2500  0.2500  0.2115  5 S 2.86-2.91, 4 As 3.13
As  0.2500  0.7500  0.5000  4 As 2.79
S  0.2500  0.2500  0.8665  5 Ce 2.86-2.91

## Properties
Crystal system: tetragonal
N(E_F): 3.5247 states/eV per atom
Formation energy from raw total energies: -1568 meV per atom

***

## LiSc5Bi3 (PBE-GGA)

Data for a geometry-optimized LiSc5Bi3 structure.

a b c (Å): 8.8784 8.8784 6.1207
angles (deg): 90.00 90.00 120.00
Closest atoms and distances in Å follow each position.
Space group P6_3/mcm (No. 193)
Inequivalent atoms, fractional coordinates:
Li  0.0000  0.0000  0.0000  6 Sc 2.94, 2 Li 3.06
Sc  0.0000  0.2833  0.2500  2 Li 2.94, 5 Bi 2.99-3.16
Sc  0.3333  0.6667  0.0000  2 Sc 3.06, 6 Bi 3.19
Bi  0.0000  0.3724  0.7500  9 Sc 2.99-3.19

## Properties
Crystal system: hexagonal
Formation energy: -0.4662 eV/atom
N(E_F): 1.1158 states/eV per atom

***

## CaY2Br (PBE-GGA)

Data for a geometry-optimized CaY2Br structure.

a b c (Å): 4.5485 4.5485 13.0221
angles (deg): 90.00 90.00 90.00
Closest atoms and distances in Å follow each position.
Space group I4/mmm (No. 139)
Inequivalent atoms, fractional coordinates:
Ca  0.0000  0.0000  0.0000  4 Br 3.22
Y  0.0000  0.5000  0.2500  4 Y 3.22
Br  0.0000  0.0000  0.5000  4 Ca 3.22

## Properties
Energy above the lowest structure with this stoichiometry: 424 meV per atom
Crystal system: tetragonal
N(E_F): 1.1736 states/eV per atom
Formation energy from raw total energies: -124 meV per atom

***

## KCuIr2 (PBE-GGA)

Data for a geometry-optimized KCuIr2 structure.

a b c (Å): 2.6943 4.8381 5.2023
angles (deg): 90.00 90.00 90.00
Closest atoms and distances in Å follow each position.
Space group Pmmm (No. 47)
Inequivalent atoms, fractional coordinates:
K  0.0000  0.0000  0.0000  2 K 2.69, 4 Cu 2.77, 4 Ir 2.93
Cu  0.5000  0.5000  0.0000  2 Cu 2.69, 4 K 2.77, 4 Ir 2.93
Ir  0.0000  0.5000  0.5000  6 Ir 2.69-2.77, 4 Cu 2.93
Ir  0.5000  0.0000  0.5000  6 Ir 2.69-2.77, 4 K 2.93

## Properties
Energy above the lowest structure with this stoichiometry: 358 meV per atom
Crystal system: orthorhombic
Formation energy: 0.7792 eV/atom
N(E_F): 1.2953 states/eV per atom

***

## CsSn2IF (PBE-GGA)

Data for a geometry-optimized CsSn2IF structure.

a b c (Å): 6.6764 6.6764 5.0006
angles (deg): 90.00 90.00 90.00
Closest atoms and distances in Å follow each position.
Space group P4/mmm (No. 123)
Inequivalent atoms, fractional coordinates:
Cs  0.0000  0.0000  0.0000  2 F 2.50
Sn  0.0000  0.5000  0.0000  2 Cs 3.34
I  0.5000  0.5000  0.5000  8 Sn 4.17
F  0.0000  0.0000  0.5000  2 Cs 2.50

## Properties
Crystal system: tetragonal
N(E_F): 1.0706 states/eV per atom
Formation energy from raw total energies: 69 meV per atom

***

## LiPdRh2Se (PBE-GGA)

Data for a geometry-optimized LiPdRh2Se structure.

a b c (Å): 4.8140 4.8140 4.2872
angles (deg): 90.00 90.00 90.00
Closest atoms and distances in Å follow each position.
Space group P4/mmm (No. 123)
Inequivalent atoms, fractional coordinates:
Li  0.0000  0.0000  0.0000  2 Pd 2.14
Pd  0.0000  0.0000  0.5000  2 Li 2.14
Rh  0.0000  0.5000  0.5000  2 Pd 2.41
Se  0.5000  0.5000  0.0000  8 Rh 3.22, 4 Li 3.40

## Properties
Crystal system: tetragonal
N(E_F): 1.2566 states/eV per atom
Formation energy from raw total energies: 853 meV per atom